The following is a GGA-PBEsol calculation of Tl2Pb after structural relaxation, from Alexandria via LeMat-Bulk.

a = 10.102 Å, b = 10.102 Å, c = 10.102 Å
α = 60.00°, β = 60.00°, γ = 60.00°
Fractional positions:
Tl1 0.000 0.000 0.000
Tl2 0.000 0.000 0.500
Tl3 0.000 0.500 0.000
Tl4 0.187 0.187 0.563
Tl5 0.187 0.563 0.187
Tl6 0.187 0.563 0.563
Tl7 0.437 0.437 0.813
Tl8 0.437 0.813 0.437
Tl9 0.437 0.813 0.813
Tl10 0.500 0.000 0.000
Tl11 0.563 0.187 0.187
Tl12 0.563 0.187 0.563
Tl13 0.563 0.563 0.187
Tl14 0.813 0.437 0.437
Tl15 0.813 0.437 0.813
Tl16 0.813 0.813 0.437
Pb1 0.146 0.785 0.785
Pb2 0.215 0.215 0.215
Pb3 0.215 0.215 0.854
Pb4 0.215 0.854 0.215
Pb5 0.785 0.146 0.785
Pb6 0.785 0.785 0.146
Pb7 0.785 0.785 0.785
Pb8 0.854 0.215 0.215

Its total magnetization is 0.00 μB/f.u. The formation energy comes out at 84 meV/atom. The calculation puts the electronic total energy at -72.047 eV/cell. The density of states at the Fermi level comes out at 14.31 states/eV/cell. As for the space-group type: Fd-3m (227).